(1)
Compound: PmY2Er6Tm3
Source: the Alexandria database
Functional: GGA-PBE
Structure: optimized geometry

abc: 6.1010 6.1010 11.6848
angles: 94.98 94.98 119.94
Closest atoms and distances in Å follow each position.
Element x y z (fractional)
Y: 0.6667 0.3333 0.0000  3 Y 3.52, 3 Pm 3.52, 6 Er 3.55-3.56
Y: 0.3333 0.6667 0.0000  3 Y 3.52, 3 Pm 3.52, 6 Er 3.55-3.56
Tm: 0.5000 0.5000 0.5000  6 Er 3.49, 6 Tm 3.52-3.53
Tm: 0.8330 0.1670 0.5000  6 Er 3.49, 6 Tm 3.52-3.53
Tm: 0.1670 0.8330 0.5000  6 Er 3.49, 6 Tm 3.52-3.53
Er: 0.2485 0.2485 0.7468  3 Tm 3.49, 6 Er 3.52-3.53, 1 Pm 3.55, 2 Y 3.55
Er: 0.9153 0.5822 0.7467  3 Tm 3.49, 6 Er 3.52-3.53, 2 Y 3.55-3.56, 1 Pm 3.55
Er: 0.7515 0.7515 0.2532  3 Tm 3.49, 6 Er 3.52-3.53, 1 Pm 3.55, 2 Y 3.55
Er: 0.5822 0.9153 0.7467  3 Tm 3.49, 6 Er 3.52-3.53, 2 Y 3.55-3.56, 1 Pm 3.55
Er: 0.4178 0.0847 0.2533  3 Tm 3.49, 6 Er 3.52-3.53, 2 Y 3.55-3.56, 1 Pm 3.55
Er: 0.0847 0.4178 0.2533  3 Tm 3.49, 6 Er 3.52-3.53, 2 Y 3.55-3.56, 1 Pm 3.55
Pm: 0.0000 0.0000 0.0000  6 Y 3.52, 6 Er 3.55

Output
- Total DFT energy (no corrections): -58.2 eV/cell
- Total magnetization: 0.000 μB/atom

***

(2)
Compound: Pm2YPuS4
Source: the Alexandria database
Functional: GGA-PBE
Structure: optimized geometry

abc: 3.9674 6.9015 6.9198
angles: 109.19 90.00 90.00
Closest atoms and distances in Å follow each position.
Element x y z (fractional)
Pm: 0.0000 0.5000 0.5000  6 S 2.85-2.86
Pm: 0.5000 0.0000 0.5000  6 S 2.84-2.85
S: 0.0000 0.7482 0.2415  1 Y 2.78, 2 Pu 2.79, 3 Pm 2.85
S: 0.5000 0.2454 0.2407  2 Y 2.78, 1 Pu 2.79, 3 Pm 2.84-2.86
S: 0.5000 0.7546 0.7593  2 Y 2.78, 1 Pu 2.79, 3 Pm 2.84-2.86
S: 0.0000 0.2518 0.7585  1 Y 2.78, 2 Pu 2.79, 3 Pm 2.85
Pu: 0.5000 0.5000 0.0000  6 S 2.79
Y: 0.0000 0.0000 0.0000  6 S 2.78

Output
- Formation energy (no corrections): -1.98 eV/atom
- Total DFT energy (no corrections): -62.6 eV/cell
- Total magnetization: 0.715 μB/atom

***

(3)
Compound: Mn2TlCd
Source: the Alexandria database
Functional: GGA-PBE
Structure: optimized geometry

abc: 5.3871 5.3871 5.3871
angles: 135.92 135.92 64.10
Closest atoms and distances in Å follow each position.
Element x y z (fractional)
Cd: 0.7500 0.2500 0.5000  8 Mn 2.86-3.05, 4 Tl 3.05
Tl: 0.5000 0.5000 0.0000  8 Mn 2.86-3.05, 4 Cd 3.05
Mn: 0.2500 0.7500 0.5000  4 Cd 2.86, 4 Mn 3.05, 4 Tl 3.05
Mn: 0.0000 0.0000 0.0000  4 Tl 2.86, 4 Cd 3.05, 4 Mn 3.05

Output
- Total DFT energy (no corrections): -19.8 eV/cell
- Total magnetization: 1.764 μB/atom

***

DOS at the Fermi energy, record by record: 1.41 1.03 1.00 states/eV/atom